Sm2Ga3AgPt4, relaxed, DFT GGA-PBE; N(E_F) = 0.34 states/eV per atom; calculated density = 11.9 g cm⁻³; energy of formation = -854 meV per atom
1.0
4.0697 0.0000 0.0000
0.0000 4.0697 0.0000
0.0000 0.0000 11.7341
Sm Ga Ag Pt
2 3 1 4
direct
0.0000 0.5000 0.2494 Sm
0.5000 0.0000 0.7506 Sm
0.0000 0.0000 0.0000 Ga
0.0000 0.5000 0.6285 Ga
0.5000 0.0000 0.3715 Ga
0.5000 0.5000 0.0000 Ag
0.0000 0.0000 0.5000 Pt
0.0000 0.5000 0.8397 Pt
0.5000 0.0000 0.1603 Pt
0.5000 0.5000 0.5000 Pt